This record from Alexandria via LeMat-Bulk describes a geometry-optimized ZrFeTe2 structure. The functional is PBE.

Unit cell a=3.553 b=3.553 c=6.872 alpha=90.00 beta=90.00 gamma=90.00
Atoms (fractional coordinates):
Zr  0.000  0.000  0.000
Fe  0.000  0.000  0.500
Te  0.500  0.500  0.251
Te  0.500  0.500  0.749

Properties
The density is 7.70 g/cm³. The formation energy from raw total energies is -0.58 eV per formula unit. The symmetry is No. 123. The density of states at the Fermi level comes out at 0.9100 states/eV/atom.